1.
RbMnIrW2: optimized geometry, PBE.

Its formation energy is 4.13 eV/atom. The density of states at the Fermi level comes out at 1.694 states/eV/atom.

abc: 4.6631 4.6631 4.6489
angles: 90.00 90.00 90.00
Space group P4/mmm (No. 123)
One atom of each set of equivalent atoms:
Rb (0.0000, 0.0000, 0.0000) [1 per cell]
Mn (0.5000, 0.5000, 0.5000) [1 per cell]
Ir (0.0000, 0.0000, 0.5000) [1 per cell]
W (0.0000, 0.5000, 0.0000) [2 per cell]

---

2.
Ce2CdIn: optimized geometry, PBE.

Its formation energy is -0.27 eV/atom. The value obtained for the energy relative to the lowest polymorph listed for this composition is 5 meV/atom. The density of states at the Fermi level comes out at 2.398 states/eV/atom.

abc: 3.2570 3.2570 9.7642
angles: 90.00 90.00 90.00
Space group P4/mmm (No. 123)
One atom of each set of equivalent atoms:
Ce (0.0000, 0.0000, 0.2499) [2 per cell]
Cd (0.5000, 0.5000, 0.0000) [1 per cell]
In (0.5000, 0.5000, 0.5000) [1 per cell]

---

3.
MnIrW2: optimized geometry, PBE.

Its formation energy is 0.08 eV/atom. The value obtained for the energy relative to the lowest polymorph listed for this composition is 129 meV/atom. The density of states at the Fermi level comes out at 0.758 states/eV/atom.

abc: 9.3956 2.8587 4.6004
angles: 90.00 101.80 90.00
Space group C2/m (No. 12)
One atom of each set of equivalent atoms:
Mn (0.0000, 0.0000, 0.0000) [2 per cell]
Ir (0.0000, 0.5000, 0.5000) [2 per cell]
W (0.2461, 0.0000, 0.7464) [4 per cell]